Computed, not measured: a relaxed GaCoRe crystal at the GGA-PBE level of DFT.

```
3
Lattice="0.210 -1.206 3.873 -2.786 1.261 2.674 -2.741 -2.616 1.464" Properties=species:S:1:pos:R:3 pbc="T T T"
Co -1.329 -0.640 2.003
Ga -3.987 -1.921 6.009
Re 0.000 0.000 0.000
```

Values from the calculation:
The space-group type is F-43m. Its energy above the most stable polymorph in this dataset is 0.00 eV per formula unit.

=====

Computed, not measured: a relaxed GaCoRe crystal at the GGA-PBE level of DFT.

```
3
Lattice="-2.921 -1.353 -0.791 0.983 -0.279 -3.153 1.840 -4.544 0.977" Properties=species:S:1:pos:R:3 pbc="T T T"
Co 0.000 0.000 0.000
Ga -0.049 -3.088 -1.484
Re -0.969 -0.816 -1.972
```

Values from the calculation:
The space-group type is P4/mmm. Its energy above the most stable polymorph in this dataset is 1.04 eV per formula unit.

=====

Computed, not measured: a relaxed Ga2CoRe crystal at the GGA-PBE level of DFT.

```
4
Lattice="0.000 3.020 3.020 3.020 0.000 3.020 3.020 3.020 0.000" Properties=species:S:1:pos:R:3 pbc="T T T"
Co 1.510 1.510 1.510
Ga 0.000 0.000 0.000
Ga 4.529 4.529 4.529
Re 3.020 3.020 3.020
```

Values from the calculation:
The space-group type is F-43m.

=====

Computed, not measured: a relaxed TaGaCoRe crystal at the GGA-PBE level of DFT.

```
4
Lattice="0.000 3.071 3.071 3.071 0.000 3.071 3.071 3.071 0.000" Properties=species:S:1:pos:R:3 pbc="T T T"
Co 4.606 4.606 4.606
Ga 0.000 0.000 0.000
Re 1.535 1.535 1.535
Ta 3.071 3.071 3.071
```

Values from the calculation:
The space-group type is F-43m. Its energy above the most stable polymorph in this dataset is 0.00 eV per formula unit.

=====

Computed, not measured: a relaxed GaCoReTc crystal at the GGA-PBE level of DFT.

```
4
Lattice="0.000 3.016 3.016 3.016 0.000 3.016 3.016 3.016 0.000" Properties=species:S:1:pos:R:3 pbc="T T T"
Co 4.524 4.524 4.524
Ga 0.000 0.000 0.000
Re 3.016 3.016 3.016
Tc 1.508 1.508 1.508
```

Values from the calculation:
The space-group type is F-43m. Its energy above the most stable polymorph in this dataset is 0.00 eV per formula unit.

=====

Computed, not measured: a relaxed ZnGaCoRe crystal at the GGA-PBE level of DFT.

```
4
Lattice="3.455 -0.051 -2.471 2.666 -3.304 0.145 0.227 -2.691 -3.278" Properties=species:S:1:pos:R:3 pbc="T T T"
Co 4.761 -4.535 -4.203
Ga 0.000 0.000 0.000
Re 3.174 -3.023 -2.802
Zn 1.587 -1.512 -1.401
```

Values from the calculation:
The space-group type is F-43m. Its energy above the most stable polymorph in this dataset is 0.17 eV per formula unit.

=====

Computed, not measured: a relaxed ZnGaCoRe crystal at the GGA-PBE level of DFT.

```
4
Lattice="-2.246 -1.662 -3.171 -3.367 2.059 -1.511 0.146 1.757 -3.841" Properties=species:S:1:pos:R:3 pbc="T T T"
Co -4.100 1.616 -6.392
Ga 0.000 0.000 0.000
Re -1.367 0.539 -2.131
Zn -2.733 1.077 -4.261
```

Values from the calculation:
The space-group type is F-43m. Its energy above the most stable polymorph in this dataset is 0.00 eV per formula unit.

=====

Computed, not measured: a relaxed GaCo2S3 crystal at the GGA-PBE level of DFT.

```
12
Lattice="3.199 -5.499 0.000 3.199 5.499 0.000 -2.127 0.000 5.925" Properties=species:S:1:pos:R:3 pbc="T T T"
Co 3.299 -0.911 0.053
Co 3.232 2.698 0.054
Co 2.235 0.911 3.015
Co 2.169 -2.698 3.017
Ga 3.238 -4.542 0.001
Ga 2.175 4.542 2.964
S 3.178 -0.911 2.240
S 3.315 2.654 2.250
S 0.103 0.998 2.338
S 2.115 0.911 5.203
S 2.251 -2.654 5.213
S -0.960 -0.998 5.301
```

Values from the calculation:
The space-group type is Cc.

=====

no.,V (Å³/f.u.),DFT total energy (eV per atom)
1,47.4,-6.8995
2,54.9,-6.5540
3,55.1,-6.0869
4,57.9,-8.7614
5,54.9,-8.2025
6,54.2,-5.6494
7,53.4,-5.6913
8,104.2,-5.3022